[1]
An optimized crystal structure of YZr2Nb. Source: the Alexandria database, functional PBE.

Summary:
The space group is Fm-3m. As for the total magnetic moment: 0.0 Bohr magnetons per cell. The value obtained for the energy of formation is 0.227 eV per atom. As for the volume: 22.983 Å³ per atom.

Cell and atoms, written as POSCAR:
```
YZr2Nb
1.0
0.0000 3.5822 3.5822
3.5822 0.0000 3.5822
3.5822 3.5822 0.0000
Y Zr Nb
1 2 1
direct
0.0000 0.0000 0.0000
0.2500 0.2500 0.2500
0.7500 0.7500 0.7500
0.5000 0.5000 0.5000
```

[2]
An optimized crystal structure of SmTmCuSi. Source: the Alexandria database, functional PBE.

Summary:
The space group is Amm2. As for the total magnetic moment: 0.0 Bohr magnetons per cell. Its uncorrected formation energy is -510 meV per atom. As for the volume: 22.399 Å³ per atom.

Cell and atoms, written as POSCAR:
```
SmTmCuSi
1.0
4.0679 0.0000 0.0000
0.0000 2.0276 5.4314
0.0000 -2.0276 5.4314
Sm Tm Cu Si
1 1 1 1
direct
0.0000 0.0000 0.0000
0.5000 0.2796 0.2796
0.5000 0.5816 0.5816
0.0000 0.7172 0.7172
```

[3]
An optimized crystal structure of NpPa3Te6. Source: the Alexandria database, functional PBE.

Summary:
The space group is P2_1/m. As for the total magnetic moment: 18.0 Bohr magnetons per cell. Its uncorrected formation energy is -715 meV per atom. As for the volume: 30.619 Å³ per atom.

Cell and atoms, written as POSCAR:
```
NpPa3Te6
1.0
11.3510 0.0000 0.0000
0.0000 4.1526 0.0000
-3.8029 0.0000 12.9917
Np Pa Te
2 6 12
direct
0.0451 0.2500 0.2045
0.9549 0.7500 0.7955
0.1162 0.2500 0.5658
0.3229 0.7500 0.9761
0.3687 0.2500 0.3582
0.6313 0.7500 0.6418
0.6771 0.2500 0.0239
0.8838 0.7500 0.4342
0.1131 0.2500 0.9535
0.1488 0.7500 0.3972
0.2013 0.7500 0.7369
0.2453 0.7500 0.1840
0.4158 0.2500 0.5977
0.4748 0.2500 0.1324
0.5252 0.7500 0.8676
0.5842 0.7500 0.4023
0.7547 0.2500 0.8160
0.7987 0.2500 0.2631
0.8512 0.2500 0.6028
0.8869 0.7500 0.0465
```

[4]
An optimized crystal structure of Li2ThPd4. Source: the Alexandria database, functional PBE.

Summary:
The space group is I4/mmm. As for the total magnetic moment: 0.0 Bohr magnetons per cell. The value obtained for the energy of formation is -0.419 eV per atom. As for the volume: 18.802 Å³ per atom.

Cell and atoms, written as POSCAR:
```
Li2ThPd4
1.0
-3.4433 3.4433 2.7751
3.4433 -3.4433 2.7751
3.4433 3.4433 -2.7751
Li Th Pd
2 1 4
direct
0.0000 0.5000 0.5000
0.5000 0.0000 0.5000
0.0000 0.0000 0.0000
0.0000 0.0000 0.5000
0.0000 0.5000 0.0000
0.5000 0.0000 0.0000
0.5000 0.5000 0.5000
```

[5]
An optimized crystal structure of Na3InP2. Source: the Alexandria database, functional PBE.

Summary:
The space group is P2_1/c. As for the total magnetic moment: 0.0 Bohr magnetons per cell. The value obtained for the energy of formation is -0.382 eV per atom. As for the volume: 22.458 Å³ per atom.

Cell and atoms, written as POSCAR:
```
Na3InP2
1.0
9.4816 0.0000 0.0000
0.0000 7.3861 0.0000
-0.7153 0.0000 15.3929
Na In P
24 8 16
direct
0.0593 0.0112 0.3954
0.0593 0.4888 0.8954
0.1167 0.1521 0.0458
0.1167 0.3479 0.5458
0.1805 0.5055 0.3621
0.1805 0.9945 0.8621
0.3112 0.0345 0.6496
0.3112 0.4655 0.1496
0.3751 0.1516 0.2965
0.3751 0.3484 0.7965
0.4354 0.5238 0.6055
0.4354 0.9762 0.1055
0.5646 0.0238 0.8945
0.5646 0.4762 0.3945
0.6249 0.6516 0.2035
0.6249 0.8484 0.7035
0.6888 0.5345 0.8504
0.6888 0.9655 0.3504
0.8195 0.0055 0.1379
0.8195 0.4945 0.6379
0.8833 0.6521 0.4542
0.8833 0.8479 0.9542
0.9407 0.5112 0.1046
0.9407 0.9888 0.6046
0.1366 0.6547 0.7097
0.1366 0.8453 0.2097
0.3742 0.6416 0.9584
0.3742 0.8584 0.4584
0.6258 0.1416 0.5416
0.6258 0.3584 0.0416
0.8634 0.1547 0.7903
0.8634 0.3453 0.2903
0.0925 0.2066 0.2260
0.0925 0.2934 0.7260
0.1527 0.7375 0.5412
0.1527 0.7625 0.0412
0.3732 0.2184 0.4770
0.3732 0.2816 0.9770
0.3753 0.7405 0.7932
0.3753 0.7595 0.2932
0.6247 0.2405 0.7068
0.6247 0.2595 0.2068
0.6268 0.7184 0.0230
0.6268 0.7816 0.5230
0.8473 0.2375 0.9588
0.8473 0.2625 0.4588
0.9075 0.7066 0.2740
0.9075 0.7934 0.7740
```

[6]
An optimized crystal structure of CaAcLaCe. Source: the Alexandria database, functional PBE.

Summary:
The space group is F-43m. As for the total magnetic moment: 1.9 Bohr magnetons per cell. The value obtained for the energy of formation is 0.220 eV per atom. As for the volume: 39.143 Å³ per atom.

Cell and atoms, written as POSCAR:
```
CaAcLaCe
1.0
0.0000 4.2779 4.2779
4.2779 0.0000 4.2779
4.2779 4.2779 0.0000
Ca Ac La Ce
1 1 1 1
direct
0.0000 0.0000 0.0000
0.7500 0.7500 0.7500
0.2500 0.2500 0.2500
0.5000 0.5000 0.5000
```

[7]
An optimized crystal structure of NdSmIrRu. Source: the Alexandria database, functional PBE.

Summary:
The space group is F-43m. As for the total magnetic moment: 0.0 Bohr magnetons per cell. The value obtained for the energy of formation is -0.360 eV per atom. As for the volume: 21.626 Å³ per atom.

Cell and atoms, written as POSCAR:
```
NdSmIrRu
1.0
0.0000 3.5102 3.5102
3.5102 0.0000 3.5102
3.5102 3.5102 0.0000
Nd Sm Ir Ru
1 1 1 1
direct
0.0000 0.0000 0.0000
0.5000 0.5000 0.5000
0.2500 0.2500 0.2500
0.7500 0.7500 0.7500
```

[8]
An optimized crystal structure of SnH6BrN2. Source: the Alexandria database, functional PBE.

Summary:
The space group is Cmcm. As for the total magnetic moment: 0.0 Bohr magnetons per cell. As for the raw total energy: -4.640 eV/atom. As for the volume: 13.956 Å³ per atom.

Cell and atoms, written as POSCAR:
```
SnH6BrN2
1.0
4.8750 -4.5072 0.0000
4.8750 4.5072 0.0000
0.0000 0.0000 6.3514
Sn H Br N
2 12 2 4
direct
0.0198 0.9802 0.7500
0.9802 0.0198 0.2500
0.0441 0.4582 0.2500
0.1705 0.5755 0.6194
0.1705 0.5755 0.8806
0.4245 0.8295 0.6194
0.4245 0.8295 0.8806
0.4582 0.0441 0.7500
0.5418 0.9559 0.2500
0.5755 0.1705 0.1194
0.5755 0.1705 0.3806
0.8295 0.4245 0.1194
0.8295 0.4245 0.3806
0.9559 0.5418 0.7500
0.3645 0.6355 0.2500
0.6355 0.3645 0.7500
0.0856 0.6177 0.7500
0.3823 0.9144 0.7500
0.6177 0.0856 0.2500
0.9144 0.3823 0.2500
```

[9]
An optimized crystal structure of TlTeIr2. Source: the Alexandria database, functional PBE.

Summary:
The space group is Cmmm. As for the total magnetic moment: 0.0 Bohr magnetons per cell. Its uncorrected formation energy is 742 meV per atom. As for the volume: 19.313 Å³ per atom.

Cell and atoms, written as POSCAR:
```
TlTeIr2
1.0
1.5454 -2.6739 0.0000
1.5454 2.6739 0.0000
0.0000 0.0000 9.3474
Tl Te Ir
1 1 2
direct
0.0000 0.0000 0.0000
0.0000 0.0000 0.5000
0.5000 0.5000 0.2498
0.5000 0.5000 0.7502
```

[10]
An optimized crystal structure of Tc2PPbAu. Source: the Alexandria database, functional PBE.

Summary:
The space group is P4/mmm. As for the total magnetic moment: 2.7 Bohr magnetons per cell. The value obtained for the energy of formation is 0.763 eV per atom. As for the volume: 21.232 Å³ per atom.

Cell and atoms, written as POSCAR:
```
Tc2PPbAu
1.0
4.4543 0.0000 0.0000
0.0000 4.4543 0.0000
0.0000 0.0000 5.3504
Tc P Pb Au
2 1 1 1
direct
0.0000 0.5000 0.0000
0.5000 0.0000 0.0000
0.0000 0.0000 0.0000
0.0000 0.0000 0.5000
0.5000 0.5000 0.5000
```

[11]
An optimized crystal structure of HfTi2AgPd. Source: the Alexandria database, functional PBE.

Summary:
The space group is P4/mmm. As for the total magnetic moment: 1.9 Bohr magnetons per cell. The value obtained for the energy of formation is 0.606 eV per atom. As for the volume: 22.841 Å³ per atom.

Cell and atoms, written as POSCAR:
```
HfTi2AgPd
1.0
4.7586 0.0000 0.0000
0.0000 4.7586 0.0000
0.0000 0.0000 5.0436
Hf Ti Ag Pd
1 2 1 1
direct
0.0000 0.0000 0.0000
0.0000 0.5000 0.5000
0.5000 0.0000 0.5000
0.5000 0.5000 0.0000
0.0000 0.0000 0.5000
```

[12]
An optimized crystal structure of KMgRhPb2. Source: the Alexandria database, functional PBE.

Summary:
The space group is P4/mmm. As for the total magnetic moment: 0.0 Bohr magnetons per cell. The value obtained for the energy of formation is -0.085 eV per atom. As for the volume: 29.607 Å³ per atom.

Cell and atoms, written as POSCAR:
```
KMgRhPb2
1.0
5.3611 0.0000 0.0000
0.0000 5.3611 0.0000
0.0000 0.0000 5.1506
K Mg Rh Pb
1 1 1 2
direct
0.0000 0.0000 0.0000
0.5000 0.5000 0.0000
0.5000 0.5000 0.5000
0.0000 0.5000 0.5000
0.5000 0.0000 0.5000
```

[13]
An optimized crystal structure of AlCrSN2. Source: the Alexandria database, functional PBE.

Summary:
The space group is P4/mmm. As for the total magnetic moment: 0.0 Bohr magnetons per cell. Its uncorrected formation energy is 282 meV per atom. As for the volume: 13.084 Å³ per atom.

Cell and atoms, written as POSCAR:
```
AlCrSN2
1.0
3.6296 0.0000 0.0000
0.0000 3.6296 0.0000
0.0000 0.0000 4.9661
Al Cr S N
1 1 1 2
direct
0.0000 0.0000 0.0000
0.5000 0.5000 0.5000
0.5000 0.5000 0.0000
0.0000 0.5000 0.5000
0.5000 0.0000 0.5000
```

[14]
An optimized crystal structure of AlTc. Source: the Alexandria database, functional PBE.

Summary:
The space group is C2/m. As for the total magnetic moment: 0.0 Bohr magnetons per cell. The value obtained for the energy of formation is -0.305 eV per atom. As for the volume: 14.495 Å³ per atom.

Cell and atoms, written as POSCAR:
```
AlTc
1.0
4.7370 -1.4960 0.0000
4.7370 1.4960 0.0000
-1.4649 0.0000 4.0907
Al Tc
2 2
direct
0.1138 0.1138 0.3486
0.8862 0.8862 0.6514
0.3685 0.3685 0.1392
0.6315 0.6315 0.8608
```

[15]
An optimized crystal structure of NbCuTeI2. Source: the Alexandria database, functional PBE.

Summary:
The space group is P4/mmm. As for the total magnetic moment: 2.8 Bohr magnetons per cell. Its uncorrected formation energy is 790 meV per atom. As for the volume: 28.981 Å³ per atom.

Cell and atoms, written as POSCAR:
```
NbCuTeI2
1.0
5.2593 0.0000 0.0000
0.0000 5.2593 0.0000
0.0000 0.0000 5.2388
Nb Cu Te I
1 1 1 2
direct
0.0000 0.0000 0.0000
0.5000 0.5000 0.5000
0.5000 0.5000 0.0000
0.0000 0.5000 0.5000
0.5000 0.0000 0.5000
```

[16]
An optimized crystal structure of MnRu3Br. Source: the Alexandria database, functional PBE.

Summary:
The space group is Pm-3m. As for the total magnetic moment: 3.2 Bohr magnetons per cell. Its uncorrected formation energy is 1526 meV per atom. As for the volume: 18.467 Å³ per atom.

Cell and atoms, written as POSCAR:
```
MnRu3Br
1.0
4.5199 0.0000 0.0000
0.0000 4.5199 0.0000
0.0000 0.0000 4.5199
Mn Ru Br
1 3 1
direct
0.0000 0.0000 0.0000
0.0000 0.0000 0.5000
0.0000 0.5000 0.0000
0.5000 0.0000 0.0000
0.5000 0.5000 0.5000
```

[17]
An optimized crystal structure of Zn2SnO2. Source: the Alexandria database, functional PBE.

Summary:
The space group is I4/mmm. As for the total magnetic moment: 0.0 Bohr magnetons per cell. Its uncorrected formation energy is -680 meV per atom. As for the volume: 13.782 Å³ per atom.

Cell and atoms, written as POSCAR:
```
Zn2SnO2
1.0
-1.9559 1.9559 4.5035
1.9559 -1.9559 4.5035
1.9559 1.9559 -4.5035
Zn Sn O
2 1 2
direct
0.1543 0.1543 0.0000
0.8457 0.8457 0.0000
0.5000 0.5000 0.0000
0.2500 0.7500 0.5000
0.7500 0.2500 0.5000
```

[18]
An optimized crystal structure of Pm3SbH3. Source: the Alexandria database, functional PBE.

Summary:
The space group is Pm-3n. As for the total magnetic moment: 0.0 Bohr magnetons per cell. As for the raw total energy: -4.689 eV/atom. As for the volume: 18.881 Å³ per atom.

Cell and atoms, written as POSCAR:
```
Pm3SbH3
1.0
6.4178 0.0000 0.0000
0.0000 6.4178 0.0000
0.0000 0.0000 6.4178
Pm Sb H
6 2 6
direct
0.0000 0.2500 0.5000
0.0000 0.7500 0.5000
0.2500 0.5000 0.0000
0.5000 0.0000 0.2500
0.5000 0.0000 0.7500
0.7500 0.5000 0.0000
0.0000 0.0000 0.0000
0.5000 0.5000 0.5000
0.0000 0.5000 0.2500
0.0000 0.5000 0.7500
0.2500 0.0000 0.5000
0.5000 0.2500 0.0000
0.5000 0.7500 0.0000
0.7500 0.0000 0.5000
```

[19]
An optimized crystal structure of Tl2InMo. Source: the Alexandria database, functional PBE.

Summary:
The space group is Pmm2. As for the total magnetic moment: 0.0 Bohr magnetons per cell. The value obtained for the energy of formation is 0.604 eV per atom. As for the volume: 22.605 Å³ per atom.

Cell and atoms, written as POSCAR:
```
Tl2InMo
1.0
3.1237 0.0000 0.0000
0.0000 4.8005 0.0000
0.0000 0.0000 6.0298
Tl In Mo
2 1 1
direct
0.0000 0.0000 0.0000
0.5000 0.5000 0.2451
0.0000 0.0000 0.5297
0.5000 0.5000 0.7326
```

[20]
An optimized crystal structure of BaCr2As. Source: the Alexandria database, functional PBE.

Summary:
The space group is C2/m. As for the total magnetic moment: 8.5 Bohr magnetons per cell. The value obtained for the energy of formation is 0.769 eV per atom. As for the volume: 24.535 Å³ per atom.

Cell and atoms, written as POSCAR:
```
BaCr2As
1.0
3.2383 -5.3449 0.0000
3.2383 5.3449 0.0000
-1.6313 0.0000 2.8350
Ba Cr As
1 2 1
direct
0.0000 0.0000 0.0000
0.0000 0.5000 0.5000
0.5000 0.0000 0.5000
0.5000 0.5000 0.0000
```